(1)
Compound: NbFeBr2
Source: Alexandria
Functional: PBE-GGA
Structure: optimized geometry

Calculated values
**Uncorrected formation energy**: 0.78 eV per atom
**Uncorrected energy**: -4.693 eV/atom

Cell: 4.5406 4.5406 4.5406 Å, 60.00 60.00 60.00°
Atoms (fractional coordinates):
Nb: 0.0000 0.0000 0.0000
Fe: 0.5000 0.5000 0.5000
Br: 0.2500 0.2500 0.2500
Br: 0.7500 0.7500 0.7500

---

(2)
Compound: TbPmGe2
Source: Alexandria
Functional: PBE-GGA
Structure: optimized geometry

Calculated values
**ΔE_f**: -84 kJ per mole of atoms
**Uncorrected energy**: -5.520 eV/atom

Cell: 4.0206 5.8744 5.8744 Å, 43.74 90.00 90.00°
Atoms (fractional coordinates):
Tb: 0.0000 0.0000 0.0000
Pm: 0.5000 0.7242 0.7242
Ge: 0.0000 0.2796 0.2796
Ge: 0.5000 0.4466 0.4466

---

(3)
Compound: CaAc4Re3N12
Source: Alexandria
Functional: PBE-GGA
Structure: optimized geometry

Calculated values
**Uncorrected formation energy**: -0.53 eV per atom
**Uncorrected energy**: -8.314 eV/atom

Cell: 7.1310 7.1310 7.1310 Å, 109.47 109.47 109.47°
Atoms (fractional coordinates):
Ca: 0.0000 0.0000 0.0000
Ac: 0.0000 0.0000 0.5000
Ac: 0.0000 0.5000 0.0000
Ac: 0.5000 0.0000 0.0000
Ac: 0.5000 0.5000 0.5000
Re: 0.0000 0.5000 0.5000
Re: 0.5000 0.0000 0.5000
Re: 0.5000 0.5000 0.0000
N: 0.0000 0.2704 0.2704
N: 0.0000 0.7296 0.7296
N: 0.2500 0.5000 0.7500
N: 0.2500 0.7500 0.5000
N: 0.2704 0.0000 0.2704
N: 0.2704 0.2704 0.0000
N: 0.5000 0.2500 0.7500
N: 0.5000 0.7500 0.2500
N: 0.7296 0.0000 0.7296
N: 0.7296 0.7296 0.0000
N: 0.7500 0.2500 0.5000
N: 0.7500 0.5000 0.2500

---

(4)
Compound: HfNb2Re
Source: Alexandria
Functional: PBE-GGA
Structure: optimized geometry

Calculated values
**ΔE_f**: 42 kJ per mole of atoms
**Uncorrected energy**: -10.198 eV/atom

Cell: 6.0060 6.0060 6.0060 Å, 102.53 102.53 124.47°
Atoms (fractional coordinates):
Hf: 0.0000 0.0000 0.0000
Hf: 0.7500 0.2500 0.5000
Nb: 0.1608 0.1250 0.5358
Nb: 0.3750 0.8392 0.9642
Nb: 0.5892 0.6250 0.4642
Nb: 0.8750 0.4108 0.0358
Re: 0.2500 0.7500 0.5000
Re: 0.5000 0.5000 0.0000

---

| no. | total magnetization (μB per cell) | DOS at the Fermi energy (states/eV/atom) |
| --- | --- | --- |
| 1 | 0.0 | 1.411 |
| 2 | 0.0 | 0.690 |
| 3 | 0.0 | 0.527 |
| 4 | 0.0 | 0.624 |